(1)
4
Lattice="-4.660 -3.049 1.522 -0.304 -5.688 -0.936 2.487 4.555 2.529" Properties=species:S:1:pos:R:3 comment="GGA-PBE LaTcOs2, relaxed" total_magnetization_mub_per_cell=0.00 final_energy_ev_per_cell=-35.55 polymorph_energy_ev_per_atom=0.258 pbc="T T T"
La -0.149 -2.751 0.943
Os -4.823 -8.489 0.569
Os -2.622 -4.616 0.309
Tc -2.327 -1.431 2.172



(2)
4
Lattice="-4.459 1.507 1.836 -0.634 -4.519 2.168 2.289 1.683 4.178" Properties=species:S:1:pos:R:3 comment="GGA-PBE TbGd3, relaxed" total_magnetization_mub_per_cell=21.92 final_energy_ev_per_cell=-46.73 polymorph_energy_ev_per_atom=0.036 pbc="T T T"
Gd 0.827 -1.418 3.173
Gd -1.085 1.595 3.007
Gd -2.547 -1.506 2.002
Tb 0.000 0.000 0.000



(3)
4
Lattice="-0.114 -3.559 0.709 3.699 0.605 3.632 -5.647 2.354 1.608" Properties=species:S:1:pos:R:3 comment="GGA-PBE Dy3Ir, relaxed" total_magnetization_mub_per_cell=0.00 final_energy_ev_per_cell=-24.56 pbc="T T T"
Ir 3.391 0.555 3.331
Dy -0.795 0.784 3.803
Dy 1.483 -1.527 1.868
Dy -1.885 -1.484 1.541



(4)
4
Lattice="-4.376 3.256 -1.425 -5.264 -1.906 0.660 -3.308 2.187 4.007" Properties=species:S:1:pos:R:3 comment="GGA-PBE AcEuMgAg, relaxed" total_magnetization_mub_per_cell=7.28 final_energy_ev_per_cell=-19.38 pbc="T T T"
Eu -9.712 2.653 2.432
Ac -3.237 0.884 0.811
Mg -6.475 1.769 1.621
Ag 0.000 0.000 0.000



(5)
8
Lattice="-5.662 -6.766 3.476 6.621 -2.250 6.404 -0.244 -3.299 6.113" Properties=species:S:1:pos:R:3 comment="GGA-PBE RhNCl2, relaxed" total_magnetization_mub_per_cell=0.00 final_energy_ev_per_cell=-36.15 polymorph_energy_ev_per_atom=0.000 raw_formation_energy_mev_per_atom=324 pbc="T T T"
N 0.480 -4.508 4.940
N 3.428 -5.029 8.729
Rh 0.000 0.000 0.000
Rh -2.713 -7.286 7.265
Cl -3.789 -6.550 5.126
Cl -1.275 -8.627 8.817
Cl -1.013 -5.451 7.139
Cl -4.775 -8.517 7.977



(6)
10
Lattice="-1.950 2.028 0.616 -0.870 1.148 -6.530 -3.859 -6.248 1.618" Properties=species:S:1:pos:R:3 comment="GGA-PBE V3FeW, relaxed" total_magnetization_mub_per_cell=0.00 final_energy_ev_per_cell=-96.28 polymorph_energy_ev_per_atom=0.000 pbc="T T T"
V -1.068 0.365 -4.579
V -5.612 -3.437 0.283
V -3.131 -3.178 0.546
V -3.548 0.105 -4.843
V -2.744 -1.658 -3.230
V -3.935 -1.415 -1.066
Fe -2.233 0.619 -2.369
Fe -4.447 -3.691 -1.927
W -5.428 -2.044 -3.721
W -1.251 -1.029 -0.575



(7)
5
Lattice="4.687 0.000 0.000 0.000 4.604 0.000 0.000 0.000 4.687" Properties=species:S:1:pos:R:3 comment="GGA-PBE Re2GeSbPt, relaxed" total_magnetization_mub_per_cell=2.82 final_energy_ev_per_cell=-32.91 raw_formation_energy_mev_per_atom=1353 pbc="T T T"
Re 0.000 0.000 2.344
Re 2.344 0.000 0.000
Ge 0.000 0.000 0.000
Pt 0.000 2.302 0.000
Sb 2.344 2.302 2.344



(8)
12
Lattice="5.619 -0.018 0.019 -2.824 4.858 0.019 -0.913 -1.580 5.903" Properties=species:S:1:pos:R:3 comment="GGA-PBE K3Li2IrO6, relaxed" total_magnetization_mub_per_cell=2.03 final_energy_ev_per_cell=-60.81 raw_formation_energy_mev_per_atom=-1256 pbc="T T T"
K -1.776 3.199 2.970
K 3.659 0.060 2.970
K 0.941 1.630 2.970
Li -0.036 3.248 0.019
Li 2.831 1.592 0.019
Ir 0.000 0.000 0.000
O 2.682 1.829 4.882
O 2.002 3.467 1.157
O -0.799 1.431 1.058
O 0.244 3.237 4.882
O -0.120 -0.207 4.784
O 1.639 0.023 1.058



(9)
6
Lattice="3.548 -6.145 0.000 3.548 6.145 0.000 0.000 0.000 3.883" Properties=species:S:1:pos:R:3 comment="GGA-PBE Te5Rh, relaxed" total_magnetization_mub_per_cell=0.00 final_energy_ev_per_cell=-22.50 polymorph_energy_ev_per_atom=0.213 raw_formation_energy_mev_per_atom=93 pbc="T T T"
Te 2.589 -4.485 0.000
Te 1.918 0.000 0.000
Te 2.589 4.485 0.000
Te 3.548 -2.048 1.942
Te 3.548 2.048 1.942
Rh 0.000 0.000 1.942



(10)
4
Lattice="3.533 0.000 0.000 1.767 3.060 0.000 1.767 1.020 11.132" Properties=species:S:1:pos:R:3 comment="GGA-PBE Gd2HfI, relaxed" total_magnetization_mub_per_cell=14.14 final_energy_ev_per_cell=-38.93 raw_formation_energy_mev_per_atom=184 pbc="T T T"
I 3.533 2.040 5.566
Gd 1.767 1.020 8.089
Gd 5.300 3.060 3.044
Hf 0.000 0.000 0.000



(11)
4
Lattice="3.578 0.000 0.000 0.000 3.578 0.000 0.000 0.000 7.214" Properties=species:S:1:pos:R:3 comment="GGA-PBE NdYZnCu, relaxed" total_magnetization_mub_per_cell=0.00 final_energy_ev_per_cell=-17.62 polymorph_energy_ev_per_atom=0.000 pbc="T T T"
Nd 1.789 1.789 0.799
Y 1.789 1.789 4.320
Zn 0.000 0.000 6.074
Cu 0.000 0.000 2.714



(12)
4
Lattice="4.974 0.000 0.000 2.487 4.308 0.000 2.487 1.436 4.062" Properties=species:S:1:pos:R:3 comment="GGA-PBE ThInCuAg, relaxed" total_magnetization_mub_per_cell=0.00 final_energy_ev_per_cell=-17.93 pbc="T T T"
Cu 2.487 1.436 1.015
Ag 7.462 4.308 3.046
Th 4.974 2.872 2.031
In 0.000 0.000 0.000